This record from Alexandria via LeMat-Bulk describes a geometry-optimized BeNi3S structure. The functional is PBE.

a b c (Å): 3.9207 3.9207 3.9207
angles (deg): 90.00 90.00 90.00
With the nearest neighbours (Å) after each atom.
Sites, in units of the cell vectors:
Be (0.0000, 0.0000, 0.0000)  6 Ni 1.96
Ni (0.0000, 0.0000, 0.5000)  2 Be 1.96
Ni (0.0000, 0.5000, 0.0000)  2 Be 1.96
Ni (0.5000, 0.0000, 0.0000)  2 Be 1.96
S (0.5000, 0.5000, 0.5000)  12 Ni 2.77

Density, g cm⁻³: 6.0
Crystal system: cubic
Total magnetization, μB per atom: 0.0000
Volume, Å³/atom: 12.05
SG: Pm-3m (221)
Total energy, eV/atom: -4.563
DOS(E_F), states/eV per cell: 4.67
Excess energy over the best structure of this formula in the dataset, eV/f.u.: 1.15


This record from Alexandria via LeMat-Bulk describes a geometry-optimized Pm7Pb3C2 structure. The functional is PBE.

a b c (Å): 13.7264 13.7264 13.7264
angles (deg): 158.80 158.80 30.15
With the nearest neighbours (Å) after each atom.
Sites, in units of the cell vectors:
Pm (0.0000, 0.0000, 0.0000)  2 C 2.63
Pm (0.0956, 0.5956, 0.5000)  2 C 2.53
Pm (0.1945, 0.1945, 0.0000)  1 C 2.53
Pm (0.4044, 0.9044, 0.5000)  2 C 2.53
Pm (0.5956, 0.0956, 0.5000)  2 C 2.53
Pm (0.8055, 0.8055, 0.0000)  1 C 2.53
Pm (0.9044, 0.4044, 0.5000)  2 C 2.53
Pb (0.3193, 0.3193, 0.0000)  9 Pm 3.31-3.59
Pb (0.5000, 0.5000, 0.0000)  12 Pm 3.57-3.58
Pb (0.6807, 0.6807, 0.0000)  9 Pm 3.31-3.59
C (0.0992, 0.0992, 0.0000)  6 Pm 2.53-2.63
C (0.9008, 0.9008, 0.0000)  6 Pm 2.53-2.63

Density, g cm⁻³: 8.2
Crystal system: tetragonal
Total magnetization, μB per atom: 0.0000
Volume, Å³/atom: 28.16
SG: I4/mmm (139)
Total energy, eV/atom: -5.701
DOS(E_F), states/eV per cell: 4.03
DFT formation energy, eV per formula unit: -5.589
Excess energy over the best structure of this formula in the dataset, eV/f.u.: 0.00


This record from Alexandria via LeMat-Bulk describes a geometry-optimized ThNi2Ir3 structure. The functional is PBE.

a b c (Å): 7.4502 7.4502 7.4502
angles (deg): 45.45 45.45 45.45
With the nearest neighbours (Å) after each atom.
Sites, in units of the cell vectors:
Th (0.2220, 0.2220, 0.2220)  3 Ni 2.78, 9 Ir 2.88-2.95
Th (0.7780, 0.7780, 0.7780)  3 Ni 2.78, 9 Ir 2.88-2.95
Ni (0.0000, 0.0000, 0.0000)  6 Ir 2.66, 6 Ni 2.88
Ni (0.0000, 0.5000, 0.5000)  4 Ir 2.62, 2 Th 2.78, 6 Ni 2.88
Ni (0.5000, 0.0000, 0.5000)  4 Ir 2.62, 2 Th 2.78, 6 Ni 2.88
Ni (0.5000, 0.5000, 0.0000)  4 Ir 2.62, 2 Th 2.78, 6 Ni 2.88
Ir (0.2410, 0.7264, 0.7264)  3 Ni 2.62-2.66, 2 Ir 2.79, 2 Th 2.88
Ir (0.2736, 0.2736, 0.7591)  3 Ni 2.62-2.66, 2 Ir 2.79, 2 Th 2.88
Ir (0.2736, 0.7590, 0.2736)  3 Ni 2.62-2.66, 2 Ir 2.79, 2 Th 2.88
Ir (0.7264, 0.2409, 0.7264)  3 Ni 2.62-2.66, 2 Ir 2.79, 2 Th 2.88
Ir (0.7264, 0.7264, 0.2409)  3 Ni 2.62-2.66, 2 Ir 2.79, 2 Th 2.88
Ir (0.7591, 0.2736, 0.2736)  3 Ni 2.62-2.66, 2 Ir 2.79, 2 Th 2.88

Density, g cm⁻³: 16.1
Crystal system: trigonal
Total magnetization, μB per atom: 0.0004
Volume, Å³/atom: 15.95
SG: R-3m (166)
Total energy, eV/atom: -7.791
DOS(E_F), states/eV per cell: 14.81
DFT formation energy, eV per formula unit: -1.181


This record from Alexandria via LeMat-Bulk describes a geometry-optimized Sm4DyTm3 structure. The functional is PBE.

a b c (Å): 11.3726 7.2757 6.2743
angles (deg): 90.00 90.00 90.00
With the nearest neighbours (Å) after each atom.
Sites, in units of the cell vectors:
Sm (0.0000, 0.1285, 0.0000)  4 Tm 3.54-3.69, 6 Sm 3.54-3.68, 2 Dy 3.62
Sm (0.0000, 0.8719, 0.4954)  6 Sm 3.53-3.68, 4 Tm 3.53-3.65, 2 Dy 3.60-3.68
Sm (0.2482, 0.8727, 0.8327)  5 Tm 3.52-3.68, 6 Sm 3.53-3.64, 1 Dy 3.55
Sm (0.2517, 0.1273, 0.3327)  5 Tm 3.52-3.68, 6 Sm 3.53-3.64, 1 Dy 3.55
Sm (0.5000, 0.1281, 0.9954)  6 Sm 3.53-3.68, 4 Tm 3.53-3.65, 2 Dy 3.60-3.68
Sm (0.5000, 0.8715, 0.5000)  4 Tm 3.54-3.69, 6 Sm 3.54-3.68, 2 Dy 3.62
Sm (0.7482, 0.1273, 0.3327)  5 Tm 3.52-3.68, 6 Sm 3.53-3.64, 1 Dy 3.55
Sm (0.7518, 0.8727, 0.8327)  5 Tm 3.52-3.68, 6 Sm 3.53-3.64, 1 Dy 3.55
Dy (0.0000, 0.3776, 0.4999)  6 Tm 3.51-3.61, 6 Sm 3.55-3.68
Dy (0.5000, 0.6224, 0.9999)  6 Tm 3.51-3.61, 6 Sm 3.55-3.68
Tm (0.0000, 0.6208, 0.9992)  4 Tm 3.51-3.53, 6 Sm 3.52-3.69, 2 Dy 3.60-3.61
Tm (0.2500, 0.3786, 0.8322)  4 Tm 3.51-3.60, 2 Dy 3.51-3.53, 6 Sm 3.53-3.68
Tm (0.2500, 0.6214, 0.3322)  4 Tm 3.51-3.60, 2 Dy 3.51-3.53, 6 Sm 3.53-3.68
Tm (0.5000, 0.3792, 0.4992)  4 Tm 3.51-3.53, 6 Sm 3.52-3.69, 2 Dy 3.60-3.61
Tm (0.7500, 0.3786, 0.8322)  4 Tm 3.51-3.60, 2 Dy 3.51-3.53, 6 Sm 3.53-3.68
Tm (0.7500, 0.6214, 0.3322)  4 Tm 3.51-3.60, 2 Dy 3.51-3.53, 6 Sm 3.53-3.68

Density, g cm⁻³: 8.1
Crystal system: orthorhombic
Total magnetization, μB per atom: 0.0001
Volume, Å³/atom: 32.45
SG: Pmn2_1 (31)
Total energy, eV/atom: -4.591
DOS(E_F), states/eV per cell: 28.96
DFT formation energy, eV per formula unit: 0.165
Excess energy over the best structure of this formula in the dataset, eV/f.u.: 0.00